[1]
Cs2RbLiS, optimized geometry, DFT PBE; volume = 270.45 Å³ per cell; E_form (uncorrected) = -0.49 eV/atom; spin magnetization = 0.00 μB per atom; energy = -11.18 eV per cell
1.0
7.511 0.000 0.000
0.000 7.511 0.000
0.000 0.000 4.794
Cs Rb Li S
2 1 1 1
Cartesian
0.000 3.756 0.000
3.756 0.000 0.000
0.000 0.000 2.397
3.756 3.756 2.397
3.756 3.756 0.000

[2]
CsRbLiSb, optimized geometry, DFT PBE; volume = 188.78 Å³ per cell; E_form (uncorrected) = -0.40 eV/atom; spin magnetization = 0.00 μB per atom; energy = -9.44 eV per cell
1.0
2.624 1.515 7.916
-2.624 1.515 7.916
0.000 -3.030 7.916
Cs Rb Li Sb
1 1 1 1
Cartesian
0.000 0.000 0.000
0.000 0.000 4.328
0.000 0.000 18.142
0.000 0.000 10.215

[3]
Cs2RbLiSb, optimized geometry, DFT PBE; volume = 366.50 Å³ per cell; E_form (uncorrected) = 0.32 eV/atom; spin magnetization = 0.18 μB per atom; energy = -7.09 eV per cell
1.0
7.581 0.000 0.000
0.000 7.581 0.000
0.000 0.000 6.377
Cs Rb Li Sb
2 1 1 1
Cartesian
0.000 3.790 0.000
3.790 0.000 0.000
0.000 0.000 0.000
3.790 3.790 3.189
0.000 0.000 3.189

[4]
Cs2RbLiSb, optimized geometry, DFT PBE; volume = 266.45 Å³ per cell; E_form (uncorrected) = -0.22 eV/atom; spin magnetization = 0.00 μB per atom; energy = -9.80 eV per cell
1.0
7.160 0.000 0.000
0.000 7.160 0.000
0.000 0.000 5.198
Cs Rb Li Sb
2 1 1 1
Cartesian
0.000 3.580 0.000
3.580 0.000 0.000
0.000 0.000 2.599
3.580 3.580 0.000
3.580 3.580 2.599

[5]
CsRbLiSb, optimized geometry, DFT PBE; volume = 148.18 Å³ per cell; E_form (uncorrected) = -0.29 eV/atom; spin magnetization = 0.00 μB per atom; energy = -9.03 eV per cell
1.0
0.000 4.200 4.200
4.200 0.000 4.200
4.200 4.200 0.000
Cs Rb Li Sb
1 1 1 1
Cartesian
0.000 0.000 0.000
6.300 6.300 6.300
2.100 2.100 2.100
4.200 4.200 4.200

[6]
CsRb2LiSb, optimized geometry, DFT PBE; volume = 242.83 Å³ per cell; E_form (uncorrected) = -0.20 eV/atom; spin magnetization = 0.12 μB per atom; energy = -9.84 eV per cell
1.0
6.788 0.000 0.000
0.000 6.788 0.000
0.000 0.000 5.271
Cs Rb Li Sb
1 2 1 1
Cartesian
0.000 0.000 0.000
0.000 3.394 2.635
3.394 0.000 2.635
3.394 3.394 2.635
3.394 3.394 0.000

[7]
CsRb2LiSb, optimized geometry, DFT PBE; volume = 294.45 Å³ per cell; E_form (uncorrected) = -0.20 eV/atom; spin magnetization = 0.00 μB per atom; energy = -9.84 eV per cell
1.0
7.358 0.000 0.000
0.000 7.358 0.000
0.000 0.000 5.439
Cs Rb Li Sb
1 2 1 1
Cartesian
0.000 0.000 0.000
0.000 3.679 2.720
3.679 0.000 2.720
3.679 3.679 0.000
3.679 3.679 2.720

[8]
Cs2RbLiSe, optimized geometry, DFT PBE; volume = 290.58 Å³ per cell; E_form (uncorrected) = -0.53 eV/atom; spin magnetization = 0.00 μB per atom; energy = -10.71 eV per cell
1.0
7.623 0.000 0.000
0.000 7.623 0.000
0.000 0.000 5.000
Cs Rb Li Se
2 1 1 1
Cartesian
0.000 3.812 0.000
3.812 0.000 0.000
0.000 0.000 2.500
3.812 3.812 2.500
3.812 3.812 0.000

[9]
CsRb2SrLi, optimized geometry, DFT PBE; volume = 378.36 Å³ per cell; spin magnetization = 0.00 μB per atom; formation energy = 181.3 meV per atom; energy = -5.48 eV per cell
1.0
7.324 0.000 0.000
0.000 7.324 0.000
0.000 0.000 7.053
Cs Rb Sr Li
1 2 1 1
Cartesian
0.000 0.000 0.000
0.000 3.662 3.526
3.662 0.000 3.526
3.662 3.662 0.000
3.662 3.662 3.526

[10]
Cs2RbLiTe, optimized geometry, DFT PBE; volume = 330.82 Å³ per cell; E_form (uncorrected) = -0.48 eV/atom; spin magnetization = 0.00 μB per atom; energy = -10.15 eV per cell
1.0
7.861 0.000 0.000
0.000 7.861 0.000
0.000 0.000 5.354
Cs Rb Li Te
2 1 1 1
Cartesian
0.000 3.930 0.000
3.930 0.000 0.000
0.000 0.000 2.677
3.930 3.930 2.677
3.930 3.930 0.000

[11]
CsRb2LiTe, optimized geometry, DFT PBE; volume = 309.23 Å³ per cell; E_form (uncorrected) = -0.43 eV/atom; spin magnetization = 0.00 μB per atom; energy = -10.01 eV per cell
1.0
7.513 0.000 0.000
0.000 7.513 0.000
0.000 0.000 5.478
Cs Rb Li Te
1 2 1 1
Cartesian
0.000 0.000 0.000
0.000 3.757 2.739
3.757 0.000 2.739
3.757 3.757 0.000
3.757 3.757 2.739

[12]
Cs2RbLiTl, optimized geometry, DFT PBE; volume = 334.04 Å³ per cell; spin magnetization = 0.00 μB per atom; formation energy = 80.6 meV per atom; energy = -6.55 eV per cell
1.0
7.601 0.000 0.000
0.000 7.601 0.000
0.000 0.000 5.782
Cs Rb Li Tl
2 1 1 1
Cartesian
0.000 3.800 0.000
3.800 0.000 0.000
0.000 0.000 2.891
3.800 3.800 2.891
3.800 3.800 0.000